[1]
First-principles (GGA-PBE) data for a geometry-optimized ZrFe2Tc2 structure, as listed in Alexandria.

Lattice parameters (Å, degrees): 7.3762 7.3762 2.6544 90.00 90.00 90.00
Last column: nearest neighbours and their distance in Å.
Element x y z (fractional)
Tc 0.3756 0.8756 0.0000  6 Fe 2.52-2.57, 3 Tc 2.60-2.65
Tc 0.8756 0.6244 0.0000  6 Fe 2.52-2.57, 3 Tc 2.60-2.65
Tc 0.6244 0.1244 0.0000  6 Fe 2.52-2.57, 3 Tc 2.60-2.65
Tc 0.1244 0.3756 0.0000  6 Fe 2.52-2.57, 3 Tc 2.60-2.65
Zr 0.0000 0.0000 0.0000  2 Zr 2.65, 4 Tc 2.92
Zr 0.5000 0.5000 0.0000  2 Zr 2.65, 4 Tc 2.92
Fe 0.1708 0.6708 0.5000  6 Tc 2.52-2.57, 2 Fe 2.65
Fe 0.6708 0.8292 0.5000  6 Tc 2.52-2.57, 2 Fe 2.65
Fe 0.8292 0.3292 0.5000  6 Tc 2.52-2.57, 2 Fe 2.65
Fe 0.3292 0.1708 0.5000  6 Tc 2.52-2.57, 2 Fe 2.65

Properties
N(E_F), states/eV/f.u.: 6.1
Relative energy among the computed polymorphs, meV per atom: 87
Total moment, μB per formula unit: 1.0
Formation energy, eV per atom: 0.093

[2]
First-principles (GGA-PBE) data for a geometry-optimized ErMg2Sc2 structure, as listed in Alexandria.

Lattice parameters (Å, degrees): 3.5536 5.2262 13.4953 90.00 97.55 90.00
Last column: nearest neighbours and their distance in Å.
Element x y z (fractional)
Er 0.8464 0.7500 0.6919  6 Mg 3.18-3.28, 4 Sc 3.40-3.44, 2 Er 3.55
Er 0.1536 0.2500 0.3081  6 Mg 3.18-3.28, 4 Sc 3.40-3.44, 2 Er 3.55
Mg 0.6397 0.7500 0.2806  4 Sc 3.11-3.16, 4 Er 3.18
Mg 0.3603 0.2500 0.7194  4 Sc 3.11-3.16, 4 Er 3.18
Mg 0.4489 0.7500 0.8983  6 Sc 3.12-3.16, 2 Er 3.28
Mg 0.5511 0.2500 0.1017  6 Sc 3.12-3.16, 2 Er 3.28
Sc 0.0449 0.7500 0.0898  8 Mg 3.11-3.16
Sc 0.9551 0.2500 0.9102  8 Mg 3.11-3.16
Sc 0.2377 0.7500 0.4755  2 Mg 3.15-3.16, 4 Sc 3.23, 4 Er 3.40-3.44
Sc 0.7623 0.2500 0.5245  2 Mg 3.15-3.16, 4 Sc 3.23, 4 Er 3.40-3.44

Properties
N(E_F), states/eV/f.u.: 6.6
Relative energy among the computed polymorphs, meV per atom: 0
Total moment, μB per formula unit: 0.0
Formation energy, eV per atom: -0.034

[3]
First-principles (GGA-PBE) data for a geometry-optimized AcCoBi2 structure, as listed in Alexandria.

Lattice parameters (Å, degrees): 5.8884 5.8884 5.2137 55.62 55.62 60.00
Last column: nearest neighbours and their distance in Å.
Element x y z (fractional)
Ac 0.5000 0.5000 0.5000  8 Bi 3.30-3.46
Co 0.0000 0.0000 0.0000  2 Bi 2.63
Bi 0.2215 0.2215 0.3354  1 Co 2.63
Bi 0.7785 0.7785 0.6646  1 Co 2.63

Properties
N(E_F), states/eV/f.u.: 5.6
Relative energy among the computed polymorphs, meV per atom: 32
Total moment, μB per formula unit: 1.6
Formation energy, eV per atom: 0.065

Q: Which value of relative energy among the computed polymorphs does entry 1 give?
A: 87 meV per atom

Q: Which formula does entry 2 have?
A: ErMg2Sc2

Q: What is the formula in the first record?
A: ZrFe2Tc2

Q: formation energy of number 3 (AcCoBi2)?
A: 0.065 eV per atom